Entry 1:
A plane-wave DFT calculation with GGA-PBE was carried out for an optimized crystal structure of ZrGeAu.

Results
- SG = P3m1 (156)
- total magnetization (μB/cell) = 0.0
- DFT formation energy (eV/atom) = -0.491

Unit cell a=3.4305 b=4.3736 c=4.3736 alpha=120.00 beta=90.00 gamma=90.00
Sites, in units of the cell vectors:
1 Ge 0.2426 0.3333 0.6667
2 Au 0.0964 0.0000 0.0000
3 Zr 0.6610 0.6667 0.3333

---

Entry 2:
A plane-wave DFT calculation with GGA-PBE was carried out for an optimized crystal structure of Be2Cu7SiAs2.

Results
- formation energy (no corrections) (eV per formula unit) = 0.72
- SG = C2/m (12)
- total magnetization (μB/cell) = 0.0

Unit cell a=3.6850 b=3.6850 c=12.3586 alpha=73.48 beta=73.48 gamma=93.36
Sites, in units of the cell vectors:
1 Cu 0.7640 0.7640 0.5003
2 Cu 0.1620 0.6600 0.8387
3 Cu 0.3400 0.8380 0.1613
4 Cu 0.8380 0.3400 0.1613
5 Cu 0.2360 0.2360 0.4997
6 Cu 0.5000 0.5000 0.0000
7 Cu 0.6600 0.1620 0.8387
8 Be 0.8129 0.8129 0.6863
9 Be 0.1871 0.1871 0.3137
10 Si 0.0000 0.0000 0.0000
11 As 0.6840 0.6840 0.3187
12 As 0.3160 0.3160 0.6813

---

Entry 3:
A plane-wave DFT calculation with GGA-PBE was carried out for an optimized crystal structure of NaSrMn2Br8.

Results
- formation energy (no corrections) (eV per formula unit) = -13.10
- SG = P-3 (147)
- total magnetization (μB/cell) = 9.0

Unit cell a=7.1265 b=7.1265 c=9.9799 alpha=90.00 beta=90.00 gamma=120.00
Last column: magnetic moment on the atom in μB.
Sites, in units of the cell vectors:
1 Br 0.0029 0.3297 0.6987  0.03
2 Br 0.3297 0.3267 0.3013  0.03
3 Br 0.6733 0.0029 0.3013  0.03
4 Br 0.6703 0.6733 0.6987  0.03
5 Br 0.6667 0.3333 0.0007  0.01
6 Br 0.9971 0.6703 0.3013  0.03
7 Br 0.3267 0.9971 0.6987  0.03
8 Br 0.3333 0.6667 0.9993  0.01
9 Na 0.0000 0.0000 0.0000  0.00
10 Sr 0.0000 0.0000 0.5000  0.01
11 Mn 0.3333 0.6667 0.7618  4.00
12 Mn 0.6667 0.3333 0.2382  4.00

---

Entry 4:
A plane-wave DFT calculation with GGA-PBE was carried out for an optimized crystal structure of PbW.

Results
- excess energy over the best structure of this formula in the dataset (meV per atom) = 1948
- SG = F-43m (216)
- total magnetization (μB/cell) = 8.1
- DFT formation energy (eV/atom) = 2.443

Unit cell a=6.3834 b=6.3834 c=6.3834 alpha=90.00 beta=90.00 gamma=90.00
Last column: magnetic moment on the atom in μB.
Sites, in units of the cell vectors:
1 W 0.7500 0.7500 0.2500  1.72
2 W 0.7500 0.2500 0.7500  1.72
3 W 0.2500 0.7500 0.7500  1.72
4 W 0.2500 0.2500 0.2500  1.72
5 Pb 0.5000 0.0000 0.5000  -0.11
6 Pb 0.0000 0.0000 0.0000  -0.11
7 Pb 0.0000 0.5000 0.5000  -0.11
8 Pb 0.5000 0.5000 0.0000  -0.11

---

Entry 5:
A plane-wave DFT calculation with GGA-PBE was carried out for an optimized crystal structure of La5InAg.

Results
- SG = C2/c (15)
- total magnetization (μB/cell) = 0.0
- DFT formation energy (eV/atom) = -0.086

Unit cell a=6.6269 b=6.6269 c=12.1886 alpha=78.75 beta=78.75 gamma=62.87
Sites, in units of the cell vectors:
1 La 0.9260 0.6069 0.1501
2 La 0.7589 0.5285 0.4428
3 La 0.9424 0.0576 0.2500
4 La 0.6069 0.9260 0.6501
5 La 0.0740 0.3931 0.8499
6 La 0.5285 0.7589 0.9428
7 La 0.2411 0.4715 0.5572
8 La 0.3931 0.0740 0.3499
9 La 0.0576 0.9424 0.7500
10 La 0.4715 0.2411 0.0572
11 Ag 0.0000 0.0000 0.5000
12 Ag 0.0000 0.0000 0.0000
13 In 0.5706 0.4294 0.7500
14 In 0.4294 0.5706 0.2500

---

Entry 6:
A plane-wave DFT calculation with GGA-PBE was carried out for an optimized crystal structure of ScHPb2.

Results
- excess energy over the best structure of this formula in the dataset (meV per atom) = 0
- SG = Fm-3m (225)
- total magnetization (μB/cell) = 0.0

Unit cell a=5.0402 b=5.0402 c=5.0402 alpha=60.00 beta=60.00 gamma=60.00
Sites, in units of the cell vectors:
1 H 0.0000 0.0000 0.0000
2 Sc 0.5000 0.5000 0.5000
3 Pb 0.7500 0.7500 0.7500
4 Pb 0.2500 0.2500 0.2500

---

Entry 7:
A plane-wave DFT calculation with GGA-PBE was carried out for an optimized crystal structure of LiLaCuPt.

Results
- SG = F-43m (216)
- total magnetization (μB/cell) = 0.0
- DFT formation energy (eV/atom) = -0.440

Unit cell a=4.8813 b=4.8813 c=4.8813 alpha=60.00 beta=60.00 gamma=60.00
Sites, in units of the cell vectors:
1 Pt 0.7500 0.7500 0.7500
2 La 0.0000 0.0000 0.0000
3 Li 0.5000 0.5000 0.5000
4 Cu 0.2500 0.2500 0.2500

---

Entry 8:
A plane-wave DFT calculation with GGA-PBE was carried out for an optimized crystal structure of Ce3P6Rh20.

Results
- SG = Fm-3m (225)
- total magnetization (μB/cell) = 0.0
- DFT formation energy (eV/atom) = -0.703

Unit cell a=8.5195 b=8.5195 c=8.5195 alpha=60.00 beta=60.00 gamma=60.00
Sites, in units of the cell vectors:
1 Rh 0.8529 0.3824 0.3824
2 Rh 0.0000 0.0000 0.6583
3 Rh 0.6176 0.6176 0.6176
4 Rh 0.3824 0.3824 0.8529
5 Rh 0.6583 0.0000 0.0000
6 Rh 0.6176 0.1471 0.6176
7 Rh 0.1471 0.6176 0.6176
8 Rh 0.3417 0.0000 0.6583
9 Rh 0.0000 0.0000 0.3417
10 Rh 0.6583 0.3417 0.0000
11 Rh 0.0000 0.6583 0.3417
12 Rh 0.3824 0.3824 0.3824
13 Rh 0.6176 0.6176 0.1471
14 Rh 0.3417 0.6583 0.0000
15 Rh 0.0000 0.3417 0.0000
16 Rh 0.0000 0.3417 0.6583
17 Rh 0.3417 0.0000 0.0000
18 Rh 0.0000 0.6583 0.0000
19 Rh 0.3824 0.8529 0.3824
20 Rh 0.6583 0.0000 0.3417
21 P 0.2703 0.7297 0.2703
22 P 0.7297 0.7297 0.2703
23 P 0.7297 0.2703 0.7297
24 P 0.2703 0.2703 0.7297
25 P 0.2703 0.7297 0.7297
26 P 0.7297 0.2703 0.2703
27 Ce 0.2500 0.2500 0.2500
28 Ce 0.0000 0.0000 0.0000
29 Ce 0.7500 0.7500 0.7500

---

| no. | energy (eV per atom) | ρ (kg/m³) |
| --- | --- | --- |
| 1 | -5.972 | 10543 |
| 2 | -4.177 | 6979 |
| 3 | -3.985 | 3252 |
| 4 | -5.888 | 9986 |
| 5 | -4.404 | 6568 |
| 6 | -3.850 | 8443 |
| 7 | -4.685 | 8167 |
| 8 | -7.506 | 10118 |